No. 1
# CePrPdAu (PBE, relaxed)
data_CePrPdAu
_chemical_formula_sum 'Ce4 Pr4 Pd4 Au4'
_cell_length_a 7.345
_cell_length_b 7.345
_cell_length_c 7.345
_cell_angle_alpha 90.00
_cell_angle_beta 90.00
_cell_angle_gamma 90.00
_symmetry_space_group_name_H-M 'F -4 3 m'
_symmetry_Int_Tables_number 216
_symmetry_space_group_name_Hall 'F -4 2 3'
loop_
_atom_site_label
_atom_site_fract_x
_atom_site_fract_y
_atom_site_fract_z
Ce1 0.000 0.000 0.000
Pr1 0.000 0.000 0.500
Pd1 0.250 0.250 0.750
Au1 0.250 0.250 0.250
# - DFT formation energy: -0.640 eV/atom
# - Energy above the most stable polymorph in this dataset: 7.1 kJ per mole of atoms
# - M_tot: 1.2 μB/f.u.
# - DOS(E_F): 36.4 states/eV/cell
# - Total DFT energy (no corrections): -86.98 eV per cell
# - Calculated density: 9797 kg/m3


No. 2
# CePd2PtAu (PBE, relaxed)
data_CePd2PtAu
_chemical_formula_sum 'Ce2 Pd4 Pt2 Au2'
_cell_length_a 6.726
_cell_length_b 4.248
_cell_length_c 6.762
_cell_angle_alpha 90.00
_cell_angle_beta 99.95
_cell_angle_gamma 90.00
_symmetry_space_group_name_H-M 'P 1 21/m 1'
_symmetry_Int_Tables_number 11
_symmetry_space_group_name_Hall '-P 2yb'
loop_
_atom_site_label
_atom_site_fract_x
_atom_site_fract_y
_atom_site_fract_z
Ce1 0.218 0.250 0.185
Pd1 0.364 0.750 0.526
Pd2 0.471 0.250 0.826
Pt1 0.208 0.750 0.878
Au1 0.074 0.250 0.623
# - DFT formation energy: -0.612 eV/atom
# - M_tot: 0.3 μB/f.u.
# - DOS(E_F): 10.5 states/eV/cell
# - Total DFT energy (no corrections): -57.40 eV per cell
# - Calculated density: 13003 kg/m3


No. 3
# Ce6PuPdAu2 (PBE, relaxed)
data_Ce6PuPdAu2
_chemical_formula_sum 'Ce12 Pu2 Pd2 Au4'
_cell_length_a 12.571
_cell_length_b 7.311
_cell_length_c 7.328
_cell_angle_alpha 90.00
_cell_angle_beta 125.55
_cell_angle_gamma 90.00
_symmetry_space_group_name_H-M 'C 1 2/m 1'
_symmetry_Int_Tables_number 12
_symmetry_space_group_name_Hall '-C 2y'
loop_
_atom_site_label
_atom_site_fract_x
_atom_site_fract_y
_atom_site_fract_z
Ce1 0.058 0.235 0.333
Ce2 0.226 0.000 0.837
Pu1 0.000 0.000 0.500
Pd1 0.000 0.500 0.000
Au1 0.249 0.500 0.730
# - DFT formation energy: -0.420 eV/atom
# - M_tot: 0.0 μB/f.u.
# - DOS(E_F): 24.4 states/eV/cell
# - Total DFT energy (no corrections): -131.76 eV per cell
# - Calculated density: 9606 kg/m3


No. 4
# CeSbPdAu (PBE, relaxed)
data_CeSbPdAu
_chemical_formula_sum 'Ce4 Sb4 Pd4 Au4'
_cell_length_a 7.037
_cell_length_b 7.037
_cell_length_c 7.037
_cell_angle_alpha 90.00
_cell_angle_beta 90.00
_cell_angle_gamma 90.00
_symmetry_space_group_name_H-M 'F -4 3 m'
_symmetry_Int_Tables_number 216
_symmetry_space_group_name_Hall 'F -4 2 3'
loop_
_atom_site_label
_atom_site_fract_x
_atom_site_fract_y
_atom_site_fract_z
Ce1 0.000 0.000 0.000
Sb1 0.000 0.000 0.500
Pd1 0.250 0.250 0.750
Au1 0.250 0.250 0.250
# - M_tot: 0.2 μB/f.u.
# - DOS(E_F): 12.4 states/eV/cell
# - Total DFT energy (no corrections): -85.12 eV per cell
# - Calculated density: 10776 kg/m3
# - E_form (uncorrected): -266 kJ/mol of formula units


No. 5
# Ce2Sb4Pd3Au (PBE, relaxed)
data_Ce2Sb4Pd3Au
_chemical_formula_sum 'Ce2 Sb4 Pd3 Au1'
_cell_length_a 4.720
_cell_length_b 4.720
_cell_length_c 10.506
_cell_angle_alpha 90.00
_cell_angle_beta 90.00
_cell_angle_gamma 90.00
_symmetry_space_group_name_H-M 'P -4 m 2'
_symmetry_Int_Tables_number 115
_symmetry_space_group_name_Hall 'P -4 -2'
loop_
_atom_site_label
_atom_site_fract_x
_atom_site_fract_y
_atom_site_fract_z
Ce1 0.000 0.500 0.246
Sb1 0.000 0.000 0.500
Sb2 0.000 0.500 0.866
Sb3 0.500 0.500 0.500
Pd1 0.000 0.000 0.000
Pd2 0.000 0.500 0.621
Au1 0.500 0.500 0.000
# - M_tot: 2.1 μB/f.u.
# - DOS(E_F): 15.0 states/eV/cell
# - Total DFT energy (no corrections): -54.12 eV per cell
# - Calculated density: 9106 kg/m3
# - E_form (uncorrected): -667 kJ/mol of formula units


No. 6
# Ce2Sb2Pd7Au (PBE, relaxed)
data_Ce2Sb2Pd7Au
_chemical_formula_sum 'Ce4 Sb4 Pd14 Au2'
_cell_length_a 6.030
_cell_length_b 6.806
_cell_length_c 11.501
_cell_angle_alpha 90.00
_cell_angle_beta 90.00
_cell_angle_gamma 90.00
_symmetry_space_group_name_H-M 'C m m m'
_symmetry_Int_Tables_number 65
_symmetry_space_group_name_Hall '-C 2 2'
loop_
_atom_site_label
_atom_site_fract_x
_atom_site_fract_y
_atom_site_fract_z
Ce1 0.000 0.000 0.166
Sb1 0.000 0.500 0.224
Pd1 0.000 0.000 0.500
Pd2 0.000 0.301 0.000
Pd3 0.250 0.250 0.354
Au1 0.000 0.500 0.500
# - M_tot: 0.8 μB/f.u.
# - DOS(E_F): 27.8 states/eV/cell
# - Total DFT energy (no corrections): -131.64 eV per cell
# - Calculated density: 10312 kg/m3
# - E_form (uncorrected): -587 kJ/mol of formula units


No. 7
# Ce2SiPd4Au2 (PBE, relaxed)
data_Ce2SiPd4Au2
_chemical_formula_sum 'Ce4 Si2 Pd8 Au4'
_cell_length_a 6.244
_cell_length_b 6.244
_cell_length_c 9.085
_cell_angle_alpha 90.00
_cell_angle_beta 90.00
_cell_angle_gamma 90.00
_symmetry_space_group_name_H-M 'I 4/m m m'
_symmetry_Int_Tables_number 139
_symmetry_space_group_name_Hall '-I 4 2'
loop_
_atom_site_label
_atom_site_fract_x
_atom_site_fract_y
_atom_site_fract_z
Ce1 0.000 0.500 0.250
Si1 0.000 0.000 0.000
Pd1 0.230 0.230 0.500
Au1 0.000 0.000 0.277
# - M_tot: 1.8 μB/f.u.
# - DOS(E_F): 28.9 states/eV/cell
# - Total DFT energy (no corrections): -100.85 eV per cell
# - Calculated density: 10575 kg/m3
# - E_form (uncorrected): -560 kJ/mol of formula units


No. 8
# CeSi2Pd5Au (PBE, relaxed)
data_CeSi2Pd5Au
_chemical_formula_sum 'Ce1 Si2 Pd5 Au1'
_cell_length_a 4.164
_cell_length_b 4.164
_cell_length_c 8.894
_cell_angle_alpha 90.00
_cell_angle_beta 90.00
_cell_angle_gamma 90.00
_symmetry_space_group_name_H-M 'P 4/m m m'
_symmetry_Int_Tables_number 123
_symmetry_space_group_name_Hall '-P 4 2'
loop_
_atom_site_label
_atom_site_fract_x
_atom_site_fract_y
_atom_site_fract_z
Ce1 0.000 0.000 0.000
Si1 0.500 0.500 0.373
Pd1 0.000 0.500 0.240
Pd2 0.500 0.500 0.000
Au1 0.000 0.000 0.500
# - M_tot: 0.4 μB/f.u.
# - DOS(E_F): 7.6 states/eV/cell
# - Total DFT energy (no corrections): -50.85 eV per cell
# - Calculated density: 9962 kg/m3
# - E_form (uncorrected): -466 kJ/mol of formula units